Entry 1:
# Li4Tm3ScS8

A geometry-optimized Li4Tm3ScS8 structure (GGA-PBE, Alexandria via LeMat-Bulk).

Geometry as POSCAR:
```
Li4Tm3ScS8
1.0
-1.192 -6.187 4.318
4.561 -4.019 -4.499
2.471 6.477 3.206
S Li Tm Sc
8 4 3 1
Direct
0.750 0.750 0.500 S
0.244 0.745 0.001 S
0.756 0.255 0.999 S
0.244 0.745 0.489 S
0.756 0.255 0.511 S
0.757 0.745 0.001 S
0.243 0.255 0.999 S
0.250 0.250 0.500 S
0.000 0.000 0.000 Li
0.000 0.000 0.500 Li
0.500 0.000 0.500 Li
0.500 0.000 0.000 Li
0.500 0.500 0.000 Tm
0.500 0.500 0.500 Tm
0.000 0.500 0.500 Tm
0.000 0.500 0.000 Sc
```

Total magnetization   0.00 μB/cell
Total DFT energy (no corrections)   -89.78 eV per cell
SG   R-3m, No. 166

Entry 2:
# Lu4Ni2C

A geometry-optimized Lu4Ni2C structure (GGA-PBE, Alexandria via LeMat-Bulk).

Geometry as POSCAR:
```
Lu4Ni2C
1.0
-1.170 -1.879 -4.088
-1.614 -3.767 2.194
-7.426 0.010 -0.521
Lu Ni C
4 2 1
Direct
0.179 0.179 0.642 Lu
0.000 0.500 0.000 Lu
0.500 0.000 0.000 Lu
0.821 0.821 0.358 Lu
0.376 0.376 0.248 Ni
0.624 0.624 0.752 Ni
0.000 0.000 0.000 C
```

Total magnetization   0.00 μB/cell
Total DFT energy (no corrections)   -40.17 eV per cell
Formation energy   -0.19 eV/atom
SG   I4/mmm, No. 139

Record-wise Fermi-level density of states values, in states/eV per cell: 0.0, 5.2